This record from the Alexandria database describes an optimized crystal structure of Tc2MoSe. The functional is GGA-PBE.

## Properties
Its space-group type is P4/mmm (123). The volume is 15.13 A^3/atom. The value obtained for the theoretical density is 10176 kg/m3. For the uncorrected formation energy, the calculation gives 97 meV/atom. The calculation puts the magnetic moment at 0.00 μB/f.u.

Cell lengths 3.0495, 3.0495, 6.5083 Å; angles 90.00, 90.00, 90.00 degrees
Fractional positions:
1 Tc 0.0000 0.0000 0.9958
2 Tc 0.0000 0.0000 0.5042
3 Mo 0.5000 0.5000 0.2500
4 Se 0.5000 0.5000 0.7500



This record from the Alexandria database describes an optimized crystal structure of Tc2MoSe. The functional is GGA-PBE.

## Properties
Its space-group type is R-3m (166). The volume is 15.39 A^3/atom. The value obtained for the theoretical density is 10003 kg/m3. For the uncorrected formation energy, the calculation gives 215 meV/atom. The calculation puts the magnetic moment at 0.00 μB/f.u.

Cell lengths 8.5955, 8.5955, 8.5955 Å; angles 19.45, 19.45, 19.45 degrees
Fractional positions:
1 Se 0.7500 0.7500 0.7500
2 Tc 0.4979 0.4979 0.4979
3 Mo 0.2500 0.2500 0.2500
4 Tc 0.0021 0.0021 0.0021



This record from the Alexandria database describes an optimized crystal structure of TcMoSe. The functional is GGA-PBE.

## Properties
Its space-group type is Imm2 (44). The volume is 15.70 A^3/atom. The value obtained for the theoretical density is 9623 kg/m3. For the uncorrected formation energy, the calculation gives 254 meV/atom. The calculation puts the magnetic moment at 0.00 μB/f.u. The calculation puts the offset from the most stable computed form at 189 meV/atom.

Cell lengths 4.5694, 4.5694, 4.5694 Å; angles 141.24, 126.77, 67.76 degrees
Fractional positions:
1 Tc 0.6634 0.6634 0.0000
2 Mo 0.0025 0.0025 0.0000
3 Se 0.3341 0.3341 0.0000



This record from the Alexandria database describes an optimized crystal structure of TcMo2Se. The functional is GGA-PBE.

## Properties
Its space-group type is I4/mmm (139). The volume is 15.45 A^3/atom. The value obtained for the theoretical density is 9910 kg/m3. For the uncorrected formation energy, the calculation gives 358 meV/atom. The calculation puts the magnetic moment at 0.00 μB/f.u.

Cell lengths 5.1572, 5.1572, 5.1572 Å; angles 137.53, 137.53, 61.62 degrees
Fractional positions:
1 Mo 0.0000 0.0000 0.0000
2 Tc 0.7500 0.2500 0.5000
3 Mo 0.5000 0.5000 0.0000
4 Se 0.2500 0.7500 0.5000



This record from the Alexandria database describes an optimized crystal structure of TcMo2Se. The functional is GGA-PBE.

## Properties
Its space-group type is P4/mmm (123). The volume is 15.37 A^3/atom. The value obtained for the theoretical density is 9963 kg/m3. For the uncorrected formation energy, the calculation gives 58 meV/atom. The calculation puts the magnetic moment at 0.00 μB/f.u.

Cell lengths 2.9958, 2.9958, 6.8501 Å; angles 90.00, 90.00, 90.00 degrees
Fractional positions:
1 Se 0.5000 0.5000 0.2500
2 Mo 0.0000 0.0000 0.4961
3 Mo 0.0000 0.0000 0.0039
4 Tc 0.5000 0.5000 0.7500



This record from the Alexandria database describes an optimized crystal structure of Tc2MoSe. The functional is GGA-PBE.

## Properties
Its space-group type is Cmm2 (35). The volume is 15.79 A^3/atom. The value obtained for the theoretical density is 9749 kg/m3. For the uncorrected formation energy, the calculation gives 483 meV/atom. The calculation puts the magnetic moment at 0.00 μB/f.u.

Cell lengths 2.7951, 2.7951, 8.8405 Å; angles 90.00, 90.00, 113.84 degrees
Fractional positions:
1 Tc 0.0000 0.0000 0.0077
2 Tc 0.5000 0.5000 0.2485
3 Se 0.5000 0.5000 0.7512
4 Mo 0.0000 0.0000 0.4925



This record from the Alexandria database describes an optimized crystal structure of TcMo2Se. The functional is GGA-PBE.

## Properties
Its space-group type is P2/m (10). The volume is 15.61 A^3/atom. The value obtained for the theoretical density is 9811 kg/m3. For the uncorrected formation energy, the calculation gives 235 meV/atom. The calculation puts the magnetic moment at 0.00 μB/f.u.

Cell lengths 4.1410, 2.9359, 5.9256 Å; angles 60.06, 90.00, 90.00 degrees
Fractional positions:
1 Mo 0.0000 0.0047 0.9945
2 Mo 0.0000 0.4953 0.5055
3 Se 0.5000 0.2500 0.2500
4 Tc 0.5000 0.7500 0.7500



This record from the Alexandria database describes an optimized crystal structure of TcMo2Se. The functional is GGA-PBE.

## Properties
Its space-group type is Cmmm (65). The volume is 16.09 A^3/atom. The value obtained for the theoretical density is 9518 kg/m3. For the uncorrected formation energy, the calculation gives 423 meV/atom. The calculation puts the magnetic moment at 0.00 μB/f.u.

Cell lengths 2.7996, 2.7996, 8.8418 Å; angles 90.00, 90.00, 111.80 degrees
Fractional positions:
1 Mo 0.0000 0.0000 0.5086
2 Mo 0.0000 0.0000 0.9914
3 Se 0.5000 0.5000 0.2500
4 Tc 0.5000 0.5000 0.7500



This record from the Alexandria database describes an optimized crystal structure of Tc2MoSe. The functional is GGA-PBE.

## Properties
Its space-group type is Cmmm (65). The volume is 15.86 A^3/atom. The value obtained for the theoretical density is 9708 kg/m3. For the uncorrected formation energy, the calculation gives 423 meV/atom. The calculation puts the magnetic moment at 0.00 μB/f.u.

Cell lengths 2.8108, 2.8108, 8.7245 Å; angles 90.00, 90.00, 113.02 degrees
Fractional positions:
1 Tc 0.0000 0.0000 0.4909
2 Tc 0.0000 0.0000 0.0091
3 Se 0.5000 0.5000 0.7500
4 Mo 0.5000 0.5000 0.2500



This record from the Alexandria database describes an optimized crystal structure of TcMoSe. The functional is GGA-PBE.

## Properties
Its space-group type is I4mm (107). The volume is 15.19 A^3/atom. The value obtained for the theoretical density is 9941 kg/m3. For the uncorrected formation energy, the calculation gives 65 meV/atom. The calculation puts the magnetic moment at 0.00 μB/f.u. The calculation puts the offset from the most stable computed form at 0 meV/atom.

Cell lengths 5.4761, 5.4761, 5.4761 Å; angles 148.15, 148.15, 45.67 degrees
Fractional positions:
1 Se 0.3330 0.3330 0.0000
2 Mo 0.9950 0.9950 0.0000
3 Tc 0.6721 0.6721 0.0000



This record from the Alexandria database describes an optimized crystal structure of Tc3MoSe. The functional is GGA-PBE.

## Properties
Its space-group type is Pm-3m (221). The volume is 20.70 A^3/atom. The value obtained for the theoretical density is 7524 kg/m3. For the uncorrected formation energy, the calculation gives 1818 meV/atom. The calculation puts the magnetic moment at 1.22 μB/f.u. The calculation puts the offset from the most stable computed form at 526 meV/atom.

Cell lengths 4.6949, 4.6949, 4.6949 Å; angles 90.00, 90.00, 90.00 degrees
Fractional positions:
1 Tc 0.5000 0.0000 0.0000
2 Se 0.5000 0.5000 0.5000
3 Tc 0.0000 0.0000 0.5000
4 Mo 0.0000 0.0000 0.0000
5 Tc 0.0000 0.5000 0.0000



This record from the Alexandria database describes an optimized crystal structure of TcMo2Se. The functional is GGA-PBE.

## Properties
Its space-group type is Imm2 (44). The volume is 15.32 A^3/atom. The value obtained for the theoretical density is 9992 kg/m3. For the uncorrected formation energy, the calculation gives 165 meV/atom. The calculation puts the magnetic moment at 0.00 μB/f.u.

Cell lengths 5.2734, 5.2734, 5.2734 Å; angles 146.67, 129.80, 61.60 degrees
Fractional positions:
1 Mo 0.0110 0.0110 0.0000
2 Mo 0.7226 0.2226 0.5000
3 Se 0.4958 0.4958 0.0000
4 Tc 0.2705 0.7705 0.5000



This record from the Alexandria database describes an optimized crystal structure of TeMoSe2. The functional is GGA-PBE.

## Properties
Its space-group type is Imm2 (44). The volume is 23.33 A^3/atom. The value obtained for the theoretical density is 6788 kg/m3. For the uncorrected formation energy, the calculation gives 89 meV/atom. The calculation puts the magnetic moment at 0.00 μB/f.u.

Cell lengths 7.1488, 7.1488, 7.1488 Å; angles 154.56, 143.39, 45.10 degrees
Fractional positions:
1 Se 0.0831 0.0831 0.0000
2 Se 0.7685 0.2685 0.5000
3 Mo 0.2303 0.7303 0.5000
4 Te 0.4181 0.4181 0.0000



This record from the Alexandria database describes an optimized crystal structure of Te2MoSe. The functional is GGA-PBE.

## Properties
Its space-group type is F-43m (216). The volume is 21.28 A^3/atom. The value obtained for the theoretical density is 8392 kg/m3. For the uncorrected formation energy, the calculation gives 591 meV/atom. The calculation puts the magnetic moment at 0.00 μB/f.u.

Cell lengths 4.9374, 4.9374, 4.9374 Å; angles 60.00, 60.00, 60.00 degrees
Fractional positions:
1 Se 0.7500 0.7500 0.7500
2 Te 0.2500 0.2500 0.2500
3 Te 0.0000 0.0000 0.0000
4 Mo 0.5000 0.5000 0.5000



This record from the Alexandria database describes an optimized crystal structure of TeMo2Se. The functional is GGA-PBE.

## Properties
Its space-group type is C2/m (12). The volume is 18.58 A^3/atom. The value obtained for the theoretical density is 8901 kg/m3. For the uncorrected formation energy, the calculation gives 267 meV/atom. The calculation puts the magnetic moment at 0.00 μB/f.u. The calculation puts the offset from the most stable computed form at 412 meV/atom.

Cell lengths 4.4132, 4.4132, 5.7328 Å; angles 76.99, 76.99, 43.33 degrees
Fractional positions:
1 Mo 0.0038 0.0038 0.9476
2 Te 0.2500 0.2500 0.2500
3 Se 0.7500 0.7500 0.7500
4 Mo 0.4962 0.4962 0.5524



This record from the Alexandria database describes an optimized crystal structure of TeMoSe. The functional is GGA-PBE.

## Properties
Its space-group type is Fmm2 (42). The volume is 23.79 A^3/atom. The value obtained for the theoretical density is 7039 kg/m3. For the uncorrected formation energy, the calculation gives 275 meV/atom. The calculation puts the magnetic moment at 0.00 μB/f.u. The calculation puts the offset from the most stable computed form at 729 meV/atom.

Cell lengths 8.3577, 8.0978, 3.1582 Å; angles 83.61, 74.34, 22.06 degrees
Fractional positions:
1 Mo 0.9906 0.9906 0.0094
2 Te 0.6346 0.6346 0.3654
3 Se 0.3748 0.3748 0.6252